# RuC2 | the Alexandria database | PBE | optimized geometry
data_RuC2
_symmetry_space_group_name_H-M 'C m c m'
_symmetry_Int_Tables_number 63
_symmetry_space_group_name_Hall '-C 2c 2'
_cell_length_a 5.287
_cell_length_b 5.158
_cell_length_c 4.587
_cell_angle_alpha 90.00
_cell_angle_beta 90.00
_cell_angle_gamma 90.00
loop_
_atom_site_label
_atom_site_type_symbol
_atom_site_fract_x
_atom_site_fract_y
_atom_site_fract_z
_atom_site_occupancy
Ru1 Ru 0.000 0.146 0.250 1
C1 C 0.128 0.240 0.750 1
# Energy (eV per atom): -8.117
# Energy relative to the lowest polymorph listed for this composition (meV/atom): 540
# ΔH_f (0 K) (eV per atom): 1.1243